Entry 1:
PBE-GGA NiRu2W, relaxed; raw total energy = -9.2235 eV per atom; formation energy from the elements = 0.0981 eV/atom; space-group type = Cm (8)
1.0
4.666 0.004 0.001
3.865 2.615 0.001
0.769 0.236 4.558
W Ni Ru
1 1 2
Direct
0.503 0.503 0.488
0.250 0.250 0.254
0.000 0.000 0.993
0.746 0.746 0.764

Entry 2:
PBE-GGA NiRuW2, relaxed; raw total energy = -10.1103 eV per atom; formation energy from the elements = 0.1306 eV/atom; space-group type = I-4m2 (119)
1.0
-2.150 -0.386 4.169
-4.174 -2.075 -0.649
4.326 -1.228 -1.388
Ni Ru W
1 1 2
Direct
0.500 0.500 0.000
0.750 0.250 0.500
0.250 0.750 0.500
0.000 0.000 0.000

Entry 3:
PBE-GGA Ni2RuW, relaxed; raw total energy = -8.4470 eV per atom; formation energy from the elements = 0.0009 eV/atom; space-group type = Pmm2 (25)
1.0
-0.997 3.932 1.141
0.373 -0.660 2.602
4.355 1.197 -0.319
Ni Ru W
2 1 1
Direct
0.500 0.125 0.282
0.000 0.125 0.972
0.000 0.625 0.456
0.500 0.625 0.790

Entry 4:
PBE-GGA NiRuW2, relaxed; raw total energy = -10.2445 eV per atom; formation energy from the elements = -0.0036 eV/atom; space-group type = P4/mmm (123)
1.0
-0.812 -3.750 -0.289
3.654 -0.718 -0.958
0.882 -0.478 3.722
W Ru Ni
2 1 1
Direct
0.000 0.000 0.000
0.500 0.500 0.000
0.000 0.500 0.500
0.500 0.000 0.500

Entry 5:
PBE-GGA NiRu2W, relaxed; raw total energy = -8.9904 eV per atom; formation energy from the elements = 0.3311 eV/atom; space-group type = F-43m (216)
1.0
-0.451 -2.346 3.569
-3.011 -3.057 0.194
1.141 -4.141 0.007
W Ru Ni
1 2 1
Direct
0.750 0.750 0.750
0.250 0.250 0.250
0.000 0.000 0.000
0.500 0.500 0.500

Entry 6:
PBE-GGA NiRu2W, relaxed; raw total energy = -9.1209 eV per atom; formation energy from the elements = 0.2006 eV/atom; space-group type = P2/m (10)
1.0
4.375 0.000 0.000
0.000 2.664 -0.017
0.000 0.380 4.797
Ni W Ru
1 1 2
Direct
0.500 0.750 0.750
0.500 0.250 0.250
0.000 0.519 0.519
0.000 0.981 0.981

Entry 7:
PBE-GGA Ni2RuW, relaxed; raw total energy = -8.3315 eV per atom; formation energy from the elements = 0.1164 eV/atom; space-group type = C2/m (12)
1.0
4.565 0.003 -0.006
3.777 2.564 -0.006
0.810 0.249 4.506
W Ni Ru
1 2 1
Direct
0.250 0.250 0.250
0.003 0.003 0.001
0.497 0.497 0.499
0.750 0.750 0.750

Entry 8:
PBE-GGA Ni2RuW, relaxed; raw total energy = -8.3902 eV per atom; formation energy from the elements = 0.0577 eV/atom; space-group type = Pmmm (47)
1.0
3.792 0.000 0.000
0.000 2.641 0.025
0.000 2.590 5.200
Ni W Ru
2 1 1
Direct
0.000 0.503 0.497
0.000 0.997 0.003
0.500 0.750 0.750
0.500 0.250 0.250

Entry 9:
PBE-GGA NiRu2W, relaxed; raw total energy = -9.2329 eV per atom; formation energy from the elements = 0.0886 eV/atom; space-group type = P4/mmm (123)
1.0
3.146 0.000 0.000
0.000 3.146 0.000
0.000 0.000 5.607
Ru Ni W
2 1 1
Direct
0.000 0.000 0.984
0.000 0.000 0.516
0.500 0.500 0.750
0.500 0.500 0.250

Entry 10:
PBE-GGA ZnNiRuW, relaxed; raw total energy = -7.2760 eV per atom; formation energy from the elements = 0.0450 eV/atom; space-group type = F-43m (216)
1.0
4.276 0.000 0.000
2.138 3.703 0.000
2.138 1.234 3.491
Ni Zn Ru W
1 1 1 1
Direct
0.750 0.750 0.750
0.000 0.000 0.000
0.250 0.250 0.250
0.500 0.500 0.500

Entry 11:
PBE-GGA Y4NiRu2, relaxed; raw total energy = -7.4799 eV per atom; formation energy from the elements = -0.3100 eV/atom; space-group type = R-3m (166)
1.0
4.588 0.000 1.433
2.070 4.094 1.433
-0.085 -0.052 8.332
Y Ru Ni
4 2 1
Direct
0.376 0.376 0.872
0.624 0.624 0.128
0.874 0.874 0.377
0.126 0.126 0.623
0.252 0.252 0.243
0.748 0.748 0.757
0.000 0.000 0.000

Entry 12:
PBE-GGA YNiRu2, relaxed; raw total energy = -7.6255 eV per atom; formation energy from the elements = 0.0738 eV/atom; energy above the most stable polymorph in this dataset = 24.6 meV/atom; space-group type = Pmmm (47)
1.0
-2.310 -0.905 -3.011
-1.973 -2.511 2.269
-2.633 3.062 1.099
Y Ru Ni
1 2 1
Direct
0.500 0.000 0.500
0.500 0.500 0.000
0.000 0.000 0.000
0.000 0.500 0.500

Number 1: Fermi-level density of states 1.18 states/eV/atom. Number 2: Fermi-level density of states 0.95 states/eV/atom. Number 3: Fermi-level density of states 1.07 states/eV/atom. Number 4: Fermi-level density of states 0.64 states/eV/atom. Number 5: Fermi-level density of states 1.20 states/eV/atom. Number 6: Fermi-level density of states 1.11 states/eV/atom. Number 7: Fermi-level density of states 1.63 states/eV/atom. Number 8: Fermi-level density of states 1.32 states/eV/atom. Number 9: Fermi-level density of states 1.38 states/eV/atom. Number 10: Fermi-level density of states 1.13 states/eV/atom. Number 11: Fermi-level density of states 0.68 states/eV/atom. Number 12: Fermi-level density of states 1.51 states/eV/atom.